(1)
Crystalline Th2CSe at its relaxed geometry. Source: Alexandria, functional PBE.

Lattice parameters (Å, degrees): 3.8836 3.8836 20.9734 90.00 90.00 120.00
With the nearest neighbours (Å) after each atom.
Space group R-3m (No. 166, hexagonal axes)
Asymmetric unit:
Th (0.0000, 0.0000, 0.2329) (multiplicity 6)  3 C 2.64
C (0.0000, 0.0000, 0.5000) (multiplicity 3)  6 Th 2.64
Se (0.0000, 0.0000, 0.0000) (multiplicity 3)  6 Th 3.08

**DOS(E_F)**: 0.28 states/eV/atom
**Uncorrected formation energy**: -1.08 eV per atom

=====

(2)
Crystalline Pu2CrTc at its relaxed geometry. Source: Alexandria, functional PBE.

Lattice parameters (Å, degrees): 6.7312 6.7312 6.7312 90.00 90.00 90.00
With the nearest neighbours (Å) after each atom.
Space group Fm-3m (No. 225)
Asymmetric unit:
Pu (0.2500, 0.2500, 0.2500) (multiplicity 8)  4 Cr 2.91, 4 Tc 2.91
Cr (0.0000, 0.0000, 0.0000) (multiplicity 4)  8 Pu 2.91
Tc (0.0000, 0.0000, 0.5000) (multiplicity 4)  8 Pu 2.91

**DOS(E_F)**: 2.42 states/eV/atom
**Excess energy over the best structure of this formula in the dataset**: 0 meV/atom
**Formation energy**: 0.2120 eV/atom

=====

(3)
Crystalline Li6Zn2Rh at its relaxed geometry. Source: Alexandria, functional PBE.

Lattice parameters (Å, degrees): 12.7773 3.9678 5.8154 90.00 110.45 90.00
With the nearest neighbours (Å) after each atom.
Space group C2/m (No. 12)
Asymmetric unit:
Li (0.0995, 0.0000, 0.1585) (multiplicity 4)  4 Li 2.57-2.75, 1 Rh 2.71, 4 Zn 2.73-2.82
Li (0.1527, 0.5000, 0.4887) (multiplicity 4)  2 Zn 2.60-2.64, 4 Li 2.68-2.69, 2 Rh 2.80
Li (0.2064, 0.0000, 0.8215) (multiplicity 4)  1 Rh 2.65, 6 Li 2.69-2.96, 2 Zn 2.78
Zn (0.0527, 0.5000, 0.8161) (multiplicity 4)  8 Li 2.60-2.82, 2 Rh 2.63, 1 Zn 2.90
Rh (0.0000, 0.0000, 0.5000) (multiplicity 2)  4 Zn 2.63, 8 Li 2.65-2.80

**DOS(E_F)**: 0.34 states/eV/atom
**Excess energy over the best structure of this formula in the dataset**: 0 meV/atom
**Formation energy**: -0.1775 eV/atom

=====

These records have calculated volume values of 274, 305, 276 Å³/cell, in the order they appear.
These records have spin magnetization values of 0.0, 6.3, 0.0 μB/f.u., in the order they appear.